VASP calculation (GGA-PBE) on NiSeBr4 after structural relaxation.

Unit cell a=6.150 b=6.150 c=6.150 alpha=60.00 beta=60.00 gamma=60.00
Site moments in Bohr magnetons follow the coordinates.
Fractional coordinates of all 6 atoms:
Br  0.375  0.874  0.375  0.00
Br  0.375  0.375  0.874  0.00
Br  0.874  0.375  0.375  0.00
Br  0.375  0.375  0.375  0.00
Ni  0.750  0.750  0.750  1.02
Se  0.000  0.000  0.000  0.93


VASP calculation (GGA-PBE) on NiSeBr2 after structural relaxation.

Unit cell a=4.517 b=4.517 c=8.819 alpha=90.00 beta=90.00 gamma=135.03
Site moments in Bohr magnetons follow the coordinates.
Fractional coordinates of all 4 atoms:
Ni  0.000  0.000  0.524  0.60
Br  0.000  0.000  0.946  0.07
Br  0.500  0.500  0.341  0.04
Se  0.500  0.500  0.689  0.26

* distance to the lowest polymorph of the same formula: 212 meV per atom


VASP calculation (GGA-PBE) on NiSeBr after structural relaxation.

Unit cell a=8.099 b=8.099 c=8.099 alpha=158.24 beta=158.24 gamma=30.97
Fractional coordinates of all 3 atoms:
Ni  0.288  0.288  0.000
Br  0.985  0.985  0.000
Se  0.728  0.728  0.000


VASP calculation (GGA-PBE) on NiSeBr2 after structural relaxation.

Unit cell a=3.516 b=6.722 c=6.828 alpha=43.23 beta=90.00 gamma=90.00
Fractional coordinates of all 4 atoms:
Br  0.500  0.352  0.363
Br  0.000  0.049  0.045
Se  0.500  0.612  0.604
Ni  0.000  0.488  0.489

* distance to the lowest polymorph of the same formula: 84 meV per atom


VASP calculation (GGA-PBE) on NiSeBr2 after structural relaxation.

Unit cell a=7.957 b=7.957 c=7.957 alpha=152.60 beta=152.60 gamma=39.13
Site moments in Bohr magnetons follow the coordinates.
Fractional coordinates of all 4 atoms:
Se  0.750  0.250  0.500  0.03
Br  0.250  0.750  0.500  0.00
Br  0.000  0.000  0.000  0.07
Ni  0.500  0.500  0.000  0.99

* distance to the lowest polymorph of the same formula: 638 meV per atom


VASP calculation (GGA-PBE) on NiSeBr2 after structural relaxation.

Unit cell a=12.131 b=12.131 c=12.131 alpha=14.67 beta=14.67 gamma=14.67
Fractional coordinates of all 4 atoms:
Br  0.062  0.062  0.062
Br  0.938  0.938  0.938
Ni  0.000  0.000  0.000
Se  0.500  0.500  0.500

* distance to the lowest polymorph of the same formula: 670 meV per atom


VASP calculation (GGA-PBE) on NiSeBr2 after structural relaxation.

Unit cell a=3.067 b=3.072 c=11.032 alpha=90.00 beta=90.00 gamma=90.00
Site moments in Bohr magnetons follow the coordinates.
Fractional coordinates of all 4 atoms:
Se  0.500  0.500  0.750  0.02
Br  0.000  0.000  0.398  0.25
Br  0.000  0.000  0.102  0.25
Ni  0.500  0.500  0.250  1.12

* distance to the lowest polymorph of the same formula: 641 meV per atom


VASP calculation (GGA-PBE) on NiSeBr2 after structural relaxation.

Unit cell a=3.947 b=7.060 c=5.860 alpha=33.97 beta=90.00 gamma=90.00
Site moments in Bohr magnetons follow the coordinates.
Fractional coordinates of all 4 atoms:
Br  0.000  0.000  0.000  0.05
Br  0.500  0.500  0.000  0.03
Se  0.000  0.000  0.500  0.00
Ni  0.500  0.500  0.500  0.89

* distance to the lowest polymorph of the same formula: 716 meV per atom


VASP calculation (GGA-PBE) on Ni2Se3Br after structural relaxation.

Unit cell a=7.258 b=7.258 c=5.444 alpha=90.00 beta=90.00 gamma=120.00
Site moments in Bohr magnetons follow the coordinates.
Fractional coordinates of all 12 atoms:
Se  0.169  0.338  0.794  0.00
Se  0.662  0.831  0.794  0.00
Se  0.831  0.169  0.206  0.00
Se  0.169  0.831  0.794  0.00
Se  0.831  0.662  0.206  0.00
Se  0.338  0.169  0.206  0.00
Br  0.333  0.667  0.315  0.22
Br  0.667  0.333  0.685  0.22
Ni  0.500  0.500  0.000  0.52
Ni  0.000  0.500  0.000  0.52
Ni  0.000  0.000  0.000  0.10
Ni  0.500  0.000  0.000  0.52


VASP calculation (GGA-PBE) on NiSeBr2 after structural relaxation.

Unit cell a=11.294 b=11.294 c=11.294 alpha=17.54 beta=17.54 gamma=17.54
Site moments in Bohr magnetons follow the coordinates.
Fractional coordinates of all 4 atoms:
Se  0.750  0.750  0.750  -0.23
Br  0.538  0.538  0.538  0.24
Br  0.962  0.962  0.962  0.24
Ni  0.250  0.250  0.250  1.30

* distance to the lowest polymorph of the same formula: 377 meV per atom


VASP calculation (GGA-PBE) on NiSeBr2 after structural relaxation.

Unit cell a=3.252 b=3.304 c=10.202 alpha=70.21 beta=90.00 gamma=90.00
Fractional coordinates of all 4 atoms:
Br  0.000  0.422  0.079
Br  0.000  0.078  0.421
Se  0.500  0.750  0.750
Ni  0.500  0.250  0.250

* distance to the lowest polymorph of the same formula: 396 meV per atom


VASP calculation (GGA-PBE) on NiSeBr after structural relaxation.

Unit cell a=7.364 b=7.369 c=7.369 alpha=157.47 beta=153.20 gamma=35.29
Fractional coordinates of all 3 atoms:
Br  0.029  0.029  0.999
Ni  0.202  0.202  0.000
Se  0.769  0.769  0.000


| no. | formation energy from raw total energies (kJ per mole of atoms) |
| --- | --- |
| 1 | 111 |
| 2 | 1 |
| 3 | 8 |
| 4 | -12 |
| 5 | 42 |
| 6 | 45 |
| 7 | 42 |
| 8 | 49 |
| 9 | -21 |
| 10 | 17 |
| 11 | 18 |
| 12 | -7 |